The following is a GGA-PBE calculation of a relaxed MnCS crystal, from Alexandria.

a b c (Å): 3.5229 3.5229 7.0395
angles (deg): 75.51 75.51 60.00
Closest atoms and distances in Å follow each position.
Sites, in units of the cell vectors:
S  0.4014  0.4014  0.7959  4 Mn 2.09-2.28
S  0.5986  0.5986  0.2041  4 Mn 2.09-2.28
Mn  0.2887  0.2887  0.1340  4 S 2.09-2.28, 1 C 2.18
Mn  0.7113  0.7113  0.8660  4 S 2.09-2.28, 1 C 2.18
C  0.1809  0.1809  0.4572  3 C 2.11, 1 Mn 2.18
C  0.8191  0.8191  0.5428  3 C 2.11, 1 Mn 2.18

Output
VASP energy	-6.42	eV per atom
formation energy without anion corrections	1.088	eV per atom